CoPdNO | GGA+U | relaxed

The calculation puts the calculated density at 7621 kg/m³. The value obtained for the raw total energy is -5.31 eV per atom. As for the energy above the lowest structure with this stoichiometry: 0.436 eV/atom.

```
data_CoPdNO
_space_group_name_H-M_alt 'P 4/n m m'
_space_group_IT_number 129
_cell_length_a 3.6188
_cell_length_b 3.6188
_cell_length_c 6.5011
_cell_angle_alpha 90.00
_cell_angle_beta 90.00
_cell_angle_gamma 90.00
loop_
_space_group_symop_operation_xyz
'x,y,z'
'-x,-y,-z'
'-y+1/2,x,z'
'y+1/2,-x,-z'
'-x+1/2,-y+1/2,z'
'x+1/2,y+1/2,-z'
'y,-x+1/2,z'
'-y,x+1/2,-z'
'x+1/2,-y,-z'
'-x+1/2,y,z'
'-y,-x,-z'
'y,x,z'
'-x,y+1/2,-z'
'x,-y+1/2,z'
'y+1/2,x+1/2,-z'
'-y+1/2,-x+1/2,z'
loop_
_atom_site_label
_atom_site_fract_x
_atom_site_fract_y
_atom_site_fract_z
Co1 0.2500 0.7500 0.0000
Pd1 0.2500 0.2500 0.3357
N1 0.2500 0.2500 0.9094
O1 0.2500 0.7500 0.5000
```